Compound: La2CoNiO6
Source: Alexandria
Functional: PBE with a Hubbard U
Structure: optimized geometry

Cell: 5.4322 5.5441 5.5450 Å, 60.01 59.31 59.32°
Last column: magnetic moment on the atom in μB.
Element x y z (fractional)
O 0.7463 0.1940 0.3225  -0.01
O 0.2537 0.6781 0.2628  -0.01
O 0.7463 0.3219 0.7372  -0.01
O 0.2537 0.8060 0.6775  -0.01
La 0.2476 0.2509 0.2507  0.01
O 0.2526 0.2638 0.8058  -0.01
Ni 0.0000 0.0000 0.0000  1.68
La 0.7524 0.7491 0.7493  0.01
O 0.7474 0.7362 0.1942  -0.01
Co 0.5000 0.5000 0.5000  1.36

Final energy ... -69.550 eV per cell
SG ... R-3, No. 148